BaMnTlP: relaxed, PBE-GGA.

Unit cell a=4.1223 b=4.1223 c=12.1360 alpha=90.00 beta=90.00 gamma=90.00
Atoms (fractional coordinates):
Mn1 0.7500 0.2500 0.0000
Mn2 0.2500 0.7500 0.0000
P1 0.7500 0.7500 0.9163
P2 0.2500 0.2500 0.0837
Ba1 0.7500 0.7500 0.2250
Ba2 0.2500 0.2500 0.7750
Tl1 0.7500 0.2500 0.5000
Tl2 0.2500 0.7500 0.5000

Calculated formation energy, meV per atom: -454
DOS at the Fermi energy, states/eV/atom: 0.753
Space group: P4/nmm (129)